[1]
This record from Alexandria describes a geometry-optimized AlTc2Mo structure. The functional is PBE.

abc: 2.7106 2.7106 8.8341
angles: 90.00 90.00 112.61
Fractional coordinates of all 4 atoms:
1 Mo 0.5000 0.5000 0.7492
2 Al 0.0000 0.0000 0.4955
3 Tc 0.5000 0.5000 0.2526
4 Tc 0.0000 0.0000 0.0027

Properties
Space group ... Cmm2, No. 35
Formation enthalpy at 0 K ... 0.032 eV per atom
Theoretical density ... 8.8 g cm⁻³
Crystal system ... orthorhombic
Calculated volume ... 60 Å³/cell

***

[2]
This record from Alexandria describes a geometry-optimized AlTc2Mo structure. The functional is PBE.

abc: 5.1340 5.1340 5.1340
angles: 144.32 131.21 61.90
Fractional coordinates of all 4 atoms:
1 Mo 0.2439 0.7439 0.5000
2 Tc 0.0007 0.0007 0.0000
3 Tc 0.7535 0.2535 0.5000
4 Al 0.5019 0.5019 0.0000

Properties
Space group ... Imm2, No. 44
Formation enthalpy at 0 K ... -0.250 eV per atom
Theoretical density ... 9.0 g cm⁻³
Crystal system ... orthorhombic
Calculated volume ... 59 Å³/cell

***

[3]
This record from Alexandria describes a geometry-optimized AlTcMo structure. The functional is PBE.

abc: 2.8354 7.4094 8.7657
angles: 90.00 90.00 90.00
Fractional coordinates of all 12 atoms:
1 Tc 0.7500 0.9417 0.3757
2 Tc 0.2500 0.4417 0.1243
3 Tc 0.2500 0.0583 0.6243
4 Tc 0.7500 0.5583 0.8757
5 Mo 0.7500 0.1099 0.1214
6 Mo 0.2500 0.8901 0.8786
7 Mo 0.2500 0.6099 0.3786
8 Mo 0.7500 0.3901 0.6214
9 Al 0.2500 0.2472 0.3702
10 Al 0.7500 0.7528 0.6298
11 Al 0.7500 0.7472 0.1298
12 Al 0.2500 0.2528 0.8702

Properties
Space group ... Pnma, No. 62
E above lowest polymorph ... 0.237 eV/atom
Formation enthalpy at 0 K ... -0.095 eV per atom
Theoretical density ... 8.0 g cm⁻³
Crystal system ... orthorhombic
Calculated volume ... 184 Å³/cell

***

[4]
This record from Alexandria describes a geometry-optimized AlTc2Mo structure. The functional is PBE.

abc: 2.7212 2.7212 8.7119
angles: 90.00 90.00 112.26
Fractional coordinates of all 4 atoms:
1 Tc 0.0000 0.0000 0.4956
2 Tc 0.0000 0.0000 0.0044
3 Al 0.5000 0.5000 0.2500
4 Mo 0.5000 0.5000 0.7500

Properties
Space group ... Cmmm, No. 65
Formation enthalpy at 0 K ... -0.041 eV per atom
Theoretical density ... 8.9 g cm⁻³
Crystal system ... orthorhombic
Calculated volume ... 60 Å³/cell

***

[5]
This record from Alexandria describes a geometry-optimized AlTcMo structure. The functional is PBE.

abc: 4.2164 4.2164 4.2164
angles: 60.00 60.00 60.00
Fractional coordinates of all 3 atoms:
1 Tc 0.7500 0.7500 0.7500
2 Al 0.0000 0.0000 0.0000
3 Mo 0.5000 0.5000 0.5000

Properties
Space group ... F-43m, No. 216
E above lowest polymorph ... 0.572 eV/atom
Formation enthalpy at 0 K ... 0.241 eV per atom
Theoretical density ... 6.9 g cm⁻³
Crystal system ... cubic
Calculated volume ... 53 Å³/cell

***

[6]
This record from Alexandria describes a geometry-optimized AlTc2Mo structure. The functional is PBE.

abc: 9.0787 9.0787 9.0787
angles: 17.67 17.67 17.67
Fractional coordinates of all 4 atoms:
1 Tc 0.9971 0.9971 0.9971
2 Tc 0.2509 0.2509 0.2509
3 Al 0.5021 0.5021 0.5021
4 Mo 0.7499 0.7499 0.7499

Properties
Space group ... R3m, No. 160
Formation enthalpy at 0 K ... -0.019 eV per atom
Theoretical density ... 8.8 g cm⁻³
Crystal system ... trigonal
Calculated volume ... 60 Å³/cell